# Cd3GaHg7

An optimized crystal structure of Cd3GaHg7 (PBE, Alexandria).

a b c (Å): 14.873 7.971 5.243
angles (deg): 90.00 108.91 90.00
Space group Cm (No. 8)
Inequivalent atoms, fractional coordinates:
Cd  0.000  0.000  0.000 x2
Cd  0.048  0.190  0.555 x4
Ga  0.022  0.500  0.230 x2
Hg  0.163  0.273  0.140 x4
Hg  0.239  0.000  0.608 x2
Hg  0.310  0.500  0.555 x2
Hg  0.352  0.248  0.072 x4
Hg  0.447  0.000  0.669 x2

The energy is -0.666 eV/atom. The calculation puts the total moment at 0.00 μB/f.u.